Record 1
Compound: KBeHg2
Source: Alexandria
Functional: GGA-PBE
Structure: optimized geometry

Cell lengths 4.8801, 4.8891, 4.4728 Å; angles 90.00, 90.00, 90.00 degrees
Closest atoms and distances in Å follow each position.
Element x y z (fractional)
1 Be 0.0000 0.5000 0.5000  8 Hg 3.31, 4 K 3.45
2 K 0.5000 0.0000 0.5000  8 Hg 3.31, 4 Be 3.45
3 Hg 0.0000 0.0000 0.0000  4 K 3.31, 4 Be 3.31, 4 Hg 3.45
4 Hg 0.5000 0.5000 0.0000  4 Be 3.31, 4 K 3.31, 4 Hg 3.45

- energy relative to the elements (meV/atom) = 458
- E_tot (eV per atom) = -0.899
- DOS at the Fermi energy (states/eV per atom) = 0.375

Record 2
Compound: KBeHg3
Source: Alexandria
Functional: GGA-PBE
Structure: optimized geometry

Cell lengths 6.6769, 6.6769, 6.6769 Å; angles 90.00, 90.00, 90.00 degrees
Closest atoms and distances in Å follow each position.
Element x y z (fractional)
1 Be 0.5000 0.5000 0.5000  12 Hg 4.72
2 K 0.0000 0.0000 0.0000  6 Hg 3.34
3 Hg 0.0000 0.5000 0.0000  2 K 3.34
4 Hg 0.0000 0.0000 0.5000  2 K 3.34
5 Hg 0.5000 0.0000 0.0000  2 K 3.34

- energy relative to the elements (meV/atom) = 789
- distance to the lowest polymorph of the same formula (meV per atom) = 807
- E_tot (eV per atom) = -0.357
- DOS at the Fermi energy (states/eV per atom) = 0.819

Record 3
Compound: KBeHg2
Source: Alexandria
Functional: GGA-PBE
Structure: optimized geometry

Cell lengths 5.7954, 5.7954, 5.7954 Å; angles 132.31, 115.51, 84.04 degrees
Closest atoms and distances in Å follow each position.
Element x y z (fractional)
1 Be 0.0988 0.5988 0.5000  3 Hg 2.34-2.52
2 K 0.4941 0.4941 0.0000  2 Be 3.22, 5 Hg 3.38-3.56
3 Hg 0.1012 0.1012 0.0000  2 Be 2.34
4 Hg 0.8059 0.3059 0.5000  1 Be 2.52

- energy relative to the elements (meV/atom) = 247
- E_tot (eV per atom) = -1.110
- DOS at the Fermi energy (states/eV per atom) = 0.552

Record 4
Compound: KBeHg3
Source: Alexandria
Functional: GGA-PBE
Structure: optimized geometry

Cell lengths 5.0311, 5.0311, 5.0311 Å; angles 90.00, 90.00, 90.00 degrees
Closest atoms and distances in Å follow each position.
Element x y z (fractional)
1 Be 0.0000 0.0000 0.0000  6 Hg 2.52
2 K 0.5000 0.5000 0.5000  12 Hg 3.56
3 Hg 0.0000 0.5000 0.0000  2 Be 2.52
4 Hg 0.0000 0.0000 0.5000  2 Be 2.52
5 Hg 0.5000 0.0000 0.0000  2 Be 2.52

- energy relative to the elements (meV/atom) = -18
- distance to the lowest polymorph of the same formula (meV per atom) = 0
- E_tot (eV per atom) = -1.164
- DOS at the Fermi energy (states/eV per atom) = 0.400

Record 5
Compound: KBeHg2
Source: Alexandria
Functional: GGA-PBE
Structure: optimized geometry

Cell lengths 4.7212, 4.7624, 5.6236 Å; angles 89.74, 90.00, 90.00 degrees
Closest atoms and distances in Å follow each position.
Element x y z (fractional)
1 Be 0.5000 0.8337 0.9987  4 Hg 2.35-2.41
2 K 0.0000 0.4255 0.5009  8 Hg 3.61-3.78
3 Hg 0.0000 0.9010 0.9993  2 Be 2.38
4 Hg 0.5000 0.3398 0.0011  2 Be 2.35-2.41

- energy relative to the elements (meV/atom) = 103
- E_tot (eV per atom) = -1.254
- DOS at the Fermi energy (states/eV per atom) = 0.248

Record 6
Compound: KBe3Hg
Source: Alexandria
Functional: GGA-PBE
Structure: optimized geometry

Cell lengths 6.2347, 6.2347, 6.2347 Å; angles 90.00, 90.00, 90.00 degrees
Closest atoms and distances in Å follow each position.
Element x y z (fractional)
1 Be 0.0000 0.5000 0.0000  2 K 3.12
2 Be 0.0000 0.0000 0.5000  2 K 3.12
3 Be 0.5000 0.0000 0.0000  2 K 3.12
4 K 0.0000 0.0000 0.0000  6 Be 3.12
5 Hg 0.5000 0.5000 0.5000  12 Be 4.41

- energy relative to the elements (meV/atom) = 2056
- distance to the lowest polymorph of the same formula (meV per atom) = 1283
- E_tot (eV per atom) = -0.459
- DOS at the Fermi energy (states/eV per atom) = 0.846

Record 7
Compound: KBeHg
Source: Alexandria
Functional: GGA-PBE
Structure: optimized geometry

Cell lengths 6.6552, 6.6559, 3.5336 Å; angles 74.59, 74.62, 30.79 degrees
Closest atoms and distances in Å follow each position.
Element x y z (fractional)
1 Be 0.9313 0.9313 0.0687  4 Hg 2.53
2 K 0.6696 0.6696 0.3304  1 Be 3.23, 1 Hg 3.34, 4 K 3.53
3 Hg 0.3991 0.3991 0.6009  4 Be 2.53

- energy relative to the elements (meV/atom) = 338
- distance to the lowest polymorph of the same formula (meV per atom) = 30
- E_tot (eV per atom) = -1.371
- DOS at the Fermi energy (states/eV per atom) = 0.268

Record 8
Compound: KBeHg
Source: Alexandria
Functional: GGA-PBE
Structure: optimized geometry

Cell lengths 5.4594, 5.4594, 5.4594 Å; angles 60.00, 60.00, 60.00 degrees
Closest atoms and distances in Å follow each position.
Element x y z (fractional)
1 Be 0.0000 0.0000 0.0000  4 K 3.34
2 K 0.7500 0.7500 0.7500  4 Hg 3.34, 4 Be 3.34
3 Hg 0.5000 0.5000 0.5000  4 K 3.34

- energy relative to the elements (meV/atom) = 898
- distance to the lowest polymorph of the same formula (meV per atom) = 590
- E_tot (eV per atom) = -0.811
- DOS at the Fermi energy (states/eV per atom) = 0.732

Record 9
Compound: KBeHg
Source: Alexandria
Functional: GGA-PBE
Structure: optimized geometry

Cell lengths 4.9695, 4.9695, 4.9695 Å; angles 60.00, 60.00, 60.00 degrees
Closest atoms and distances in Å follow each position.
Element x y z (fractional)
1 Be 0.7500 0.7500 0.7500  4 Hg 3.04, 4 K 3.04
2 K 0.5000 0.5000 0.5000  4 Be 3.04
3 Hg 0.0000 0.0000 0.0000  4 Be 3.04

- energy relative to the elements (meV/atom) = 654
- distance to the lowest polymorph of the same formula (meV per atom) = 346
- E_tot (eV per atom) = -1.055
- DOS at the Fermi energy (states/eV per atom) = 0.764

Record 10
Compound: KBeHg2
Source: Alexandria
Functional: GGA-PBE
Structure: optimized geometry

Cell lengths 4.5243, 4.5243, 6.7584 Å; angles 70.42, 70.42, 59.93 degrees
Closest atoms and distances in Å follow each position.
Element x y z (fractional)
1 Be 0.2500 0.2500 0.2500  6 Hg 2.68-2.69
2 K 0.7500 0.7500 0.7500  8 Hg 3.61-3.74
3 Hg 0.9502 0.9502 0.1493  3 Be 2.68-2.69, 3 Hg 2.90
4 Hg 0.5498 0.5498 0.3507  3 Be 2.68-2.69, 3 Hg 2.90

- energy relative to the elements (meV/atom) = 154
- E_tot (eV per atom) = -1.203
- DOS at the Fermi energy (states/eV per atom) = 0.151

Record 11
Compound: KBeHg
Source: Alexandria
Functional: GGA-PBE
Structure: optimized geometry

Cell lengths 5.1300, 5.1300, 5.1300 Å; angles 60.00, 60.00, 60.00 degrees
Closest atoms and distances in Å follow each position.
Element x y z (fractional)
1 Be 0.5000 0.5000 0.5000  4 Hg 3.14
2 K 0.0000 0.0000 0.0000  4 Hg 3.14
3 Hg 0.2500 0.2500 0.2500  4 K 3.14, 4 Be 3.14

- energy relative to the elements (meV/atom) = 718
- distance to the lowest polymorph of the same formula (meV per atom) = 411
- E_tot (eV per atom) = -0.990
- DOS at the Fermi energy (states/eV per atom) = 0.844

Record 12
Compound: KBeHg
Source: Alexandria
Functional: GGA-PBE
Structure: optimized geometry

Cell lengths 4.1980, 4.1980, 5.5808 Å; angles 90.00, 90.00, 120.00 degrees
Closest atoms and distances in Å follow each position.
Element x y z (fractional)
1 Be 0.0000 0.0000 0.1669  3 Hg 2.42
2 K 0.6667 0.3333 0.6667  6 Be 3.69-3.70, 6 Hg 3.69-3.70
3 Hg 0.3333 0.6667 0.1664  3 Be 2.42

- energy relative to the elements (meV/atom) = 308
- distance to the lowest polymorph of the same formula (meV per atom) = 0
- E_tot (eV per atom) = -1.401
- DOS at the Fermi energy (states/eV per atom) = 0.535